1.
# PBE Cd4In15Hg, optimized geometry
# total energy: -2.24 eV/atom
# calculated formation energy: 0.27 eV per formula unit
# N(E_F): 7.1 states/eV per cell
data_Cd4In15Hg
_cell_length_a 4.7358
_cell_length_b 4.7358
_cell_length_c 23.3708
_cell_angle_alpha 90.00
_cell_angle_beta 90.00
_cell_angle_gamma 90.00
_space_group_name_H-M_alt 'P 4/m m m'
_space_group_IT_number 123
_space_group_name_Hall '-P 4 2'
loop_
_atom_site_label
_atom_site_fract_x
_atom_site_fract_y
_atom_site_fract_z
Cd1 0.0000 0.0000 0.0994
Cd2 0.0000 0.0000 0.2990
In1 0.0000 0.5000 0.0000
In2 0.0000 0.5000 0.1994
In3 0.0000 0.5000 0.3987
In4 0.5000 0.5000 0.0997
In5 0.5000 0.5000 0.2987
In6 0.5000 0.5000 0.5000
Hg1 0.0000 0.0000 0.5000

2.
# PBE Cd2In3Hg9, optimized geometry
# total energy: -0.86 eV/atom
# calculated formation energy: 0.65 eV per formula unit
# N(E_F): 8.0 states/eV per cell
data_Cd2In3Hg9
_cell_length_a 3.2138
_cell_length_b 10.8539
_cell_length_c 23.8429
_cell_angle_alpha 90.00
_cell_angle_beta 90.00
_cell_angle_gamma 90.00
_space_group_name_H-M_alt 'I m m m'
_space_group_IT_number 71
_space_group_name_Hall '-I 2 2'
loop_
_atom_site_label
_atom_site_fract_x
_atom_site_fract_y
_atom_site_fract_z
Cd1 0.0000 0.2314 0.0000
In1 0.0000 0.0000 0.2997
In2 0.0000 0.0000 0.5000
Hg1 0.0000 0.1622 0.1964
Hg2 0.0000 0.1830 0.3945
Hg3 0.0000 0.5000 0.5000

3.
# PBE Cd3InHg6, optimized geometry
# relative energy among the computed polymorphs: 0.24 kcal/mol of atoms
# total energy: -0.71 eV/atom
# calculated formation energy: 0.24 eV per formula unit
# N(E_F): 5.0 states/eV per cell
data_Cd3InHg6
_cell_length_a 10.8694
_cell_length_b 3.3945
_cell_length_c 14.4293
_cell_angle_alpha 90.00
_cell_angle_beta 103.85
_cell_angle_gamma 90.00
_space_group_name_H-M_alt 'P 1 21/m 1'
_space_group_IT_number 11
_space_group_name_Hall '-P 2yb'
loop_
_atom_site_label
_atom_site_fract_x
_atom_site_fract_y
_atom_site_fract_z
Cd1 0.0306 0.2500 0.4155
Cd2 0.3906 0.2500 0.0376
Cd3 0.4507 0.2500 0.5720
In1 0.1869 0.2500 0.2065
Hg1 0.0585 0.2500 0.7946
Hg2 0.1304 0.7500 0.0068
Hg3 0.2173 0.2500 0.6374
Hg4 0.2635 0.7500 0.4095
Hg5 0.3132 0.7500 0.8492
Hg6 0.4726 0.2500 0.2500

4.
# PBE CdIn2Hg9, optimized geometry
# relative energy among the computed polymorphs: 0.27 kcal/mol of atoms
# total energy: -0.74 eV/atom
# calculated formation energy: 0.17 eV per formula unit
# N(E_F): 2.6 states/eV per cell
data_CdIn2Hg9
_cell_length_a 10.7163
_cell_length_b 10.7163
_cell_length_c 3.2467
_cell_angle_alpha 90.00
_cell_angle_beta 90.00
_cell_angle_gamma 120.00
_space_group_name_H-M_alt 'P 6/m m m'
_space_group_IT_number 191
_space_group_name_Hall '-P 6 2'
loop_
_atom_site_label
_atom_site_fract_x
_atom_site_fract_y
_atom_site_fract_z
Cd1 0.0000 0.0000 0.0000
In1 0.3333 0.6667 0.0000
Hg1 0.0000 0.5000 0.0000
Hg2 0.1676 0.3352 0.5000

Q: Which formula does entry 1 have?
A: Cd4In15Hg

Q: The highest calculated formation energy belongs to which entry?
A: Cd2In3Hg9

Q: Which of these has the lowest total energy?
A: Cd4In15Hg

Q: calculated formation energy of number 1 (Cd4In15Hg)?
A: 0.27 eV per formula unit